## PuAg2Hg (PBE)

Data for a relaxed structure of PuAg2Hg. Values from VASP.

The density of states at the Fermi level comes out at 7.2 states/eV/f.u. The final energy is -5.0257 eV per atom. As for the calculated density: 12.65 g/cm³. The value obtained for the energy of formation from the pure elements is 0.058 eV per atom.

The structure in Quantum ESPRESSO input format:
```
&SYSTEM
  ibrav = 0, nat = 4, ntyp = 3
/
ATOMIC_SPECIES
Ag 107.87 Ag.upf
Pu 244.00 Pu.upf
Hg 200.59 Hg.upf
ATOMIC_POSITIONS crystal
Ag 0.000 0.000 0.234
Ag 0.000 0.000 0.766
Pu 0.500 0.500 0.500
Hg 0.500 0.500 0.000
CELL_PARAMETERS angstrom
-0.702 -2.584 -1.664
1.834 -1.721 1.900
-6.821 -1.509 5.219
```

## BiRhSe2 (PBE)

Data for a relaxed structure of BiRhSe2. Values from VASP.

The density of states at the Fermi level comes out at 1.8 states/eV/f.u. The final energy is -4.7547 eV per atom. As for the calculated density: 8.23 g/cm³.

The structure in Quantum ESPRESSO input format:
```
&SYSTEM
  ibrav = 0, nat = 16, ntyp = 3
/
ATOMIC_SPECIES
Rh 102.91 Rh.upf
Se 78.96 Se.upf
Bi 208.98 Bi.upf
ATOMIC_POSITIONS crystal
Rh 0.549 0.250 0.888
Se 0.872 0.250 0.790
Se 0.203 0.750 0.527
Bi 0.737 0.250 0.150
Bi 0.763 0.750 0.650
Se 0.797 0.250 0.473
Bi 0.263 0.750 0.850
Se 0.628 0.750 0.290
Rh 0.049 0.250 0.612
Se 0.128 0.750 0.210
Rh 0.951 0.750 0.388
Se 0.703 0.750 0.973
Se 0.297 0.250 0.027
Rh 0.451 0.750 0.112
Se 0.372 0.250 0.710
Bi 0.237 0.250 0.350
CELL_PARAMETERS angstrom
6.639 0.000 0.000
0.000 4.103 0.000
0.000 0.000 13.921
```

## YTa2Au (PBE)

Data for a relaxed structure of YTa2Au. Values from VASP.

The distance to the lowest polymorph of the same formula comes out at 78 meV/atom. The density of states at the Fermi level comes out at 3.4 states/eV/f.u. The final energy is -8.3278 eV per atom. As for the calculated density: 13.17 g/cm³. The value obtained for the energy of formation from the pure elements is 0.034 eV per atom.

The structure in Quantum ESPRESSO input format:
```
&SYSTEM
  ibrav = 0, nat = 4, ntyp = 3
/
ATOMIC_SPECIES
Y 88.91 Y.upf
Ta 180.95 Ta.upf
Au 196.97 Au.upf
ATOMIC_POSITIONS crystal
Y 0.000 0.000 0.507
Ta 0.500 0.500 0.228
Au 0.500 0.500 0.770
Ta 0.000 0.000 0.995
CELL_PARAMETERS angstrom
-0.226 2.324 1.969
-2.992 -0.595 -0.150
0.782 -5.624 6.730
```

- Among the records above, which one has the highest calculated density?
  YTa2Au

- Which value of final energy does entry 1 give?
  -5.0257 eV per atom